1.
An optimized crystal structure of La12PmSn6. Source: the Alexandria database, functional PBE.

Lattice parameters (Å, degrees): 9.4908 9.4908 9.4908 110.86 110.86 110.86
Closest atoms and distances in Å follow each position.
Element x y z (fractional)
La 0.8054 0.6586 0.5191  3 Sn 3.26-3.54, 4 La 3.35-3.62
La 0.5191 0.8054 0.6586  3 Sn 3.26-3.54, 4 La 3.35-3.62
La 0.6586 0.5191 0.8054  3 Sn 3.26-3.54, 4 La 3.35-3.62
La 0.1946 0.3414 0.4809  3 Sn 3.26-3.54, 4 La 3.35-3.62
La 0.4809 0.1946 0.3414  3 Sn 3.26-3.54, 4 La 3.35-3.62
La 0.3414 0.4809 0.1946  3 Sn 3.26-3.54, 4 La 3.35-3.62
La 0.8877 0.7952 0.2610  5 Sn 3.32-3.71, 2 La 3.35-3.39
La 0.2048 0.7390 0.1123  5 Sn 3.32-3.71, 2 La 3.35-3.39
La 0.7390 0.1123 0.2048  5 Sn 3.32-3.71, 2 La 3.35-3.39
La 0.1123 0.2048 0.7390  5 Sn 3.32-3.71, 2 La 3.35-3.39
La 0.7952 0.2610 0.8877  5 Sn 3.32-3.71, 2 La 3.35-3.39
La 0.2610 0.8877 0.7952  5 Sn 3.32-3.71, 2 La 3.35-3.39
Pm 0.0000 0.0000 0.0000  12 La 3.73-3.86
Sn 0.6596 0.9303 0.4307  7 La 3.26-3.54
Sn 0.5693 0.3404 0.0697  7 La 3.26-3.54
Sn 0.0697 0.5693 0.3404  7 La 3.26-3.54
Sn 0.3404 0.0697 0.5693  7 La 3.26-3.54
Sn 0.4307 0.6596 0.9303  7 La 3.26-3.54
Sn 0.9303 0.4307 0.6596  7 La 3.26-3.54

Calculated values
* density of states at the Fermi level: 27.83 states/eV per cell
* ΔE_f: -0.417 eV per atom


2.
An optimized crystal structure of TeMoPb2. Source: the Alexandria database, functional PBE.

Lattice parameters (Å, degrees): 6.0727 6.0727 6.0727 136.48 136.48 63.25
Closest atoms and distances in Å follow each position.
Element x y z (fractional)
Mo 0.7500 0.2500 0.5000  4 Te 3.18, 8 Pb 3.43
Pb 0.0000 0.0000 0.0000  4 Pb 3.18, 4 Te 3.43, 4 Mo 3.43
Pb 0.5000 0.5000 0.0000  4 Pb 3.18, 4 Mo 3.43, 4 Te 3.43
Te 0.2500 0.7500 0.5000  4 Mo 3.18, 8 Pb 3.43

Calculated values
* density of states at the Fermi level: 2.88 states/eV per cell
* uncorrected formation energy: 0.63 eV/atom


3.
An optimized crystal structure of CdIn2Se. Source: the Alexandria database, functional PBE.

Lattice parameters (Å, degrees): 3.6713 3.6723 7.6268 90.00 90.00 90.00
Closest atoms and distances in Å follow each position.
Element x y z (fractional)
Cd 0.5000 0.5000 0.7500  8 In 3.33, 4 Cd 3.67
In 0.0000 0.0000 0.0226  4 Se 3.12, 4 Cd 3.33, 1 In 3.47
In 0.0000 0.0000 0.4774  4 Se 3.12, 4 Cd 3.33, 1 In 3.47
Se 0.5000 0.5000 0.2500  8 In 3.12

Calculated values
* density of states at the Fermi level: 0.73 states/eV per cell
* distance to the lowest polymorph of the same formula: 0.068 eV/atom
* uncorrected formation energy: -0.13 eV/atom


4.
An optimized crystal structure of Ce3Nd2Ge4. Source: the Alexandria database, functional PBE.

Lattice parameters (Å, degrees): 7.8654 8.0792 7.9745 90.00 90.00 112.60
Closest atoms and distances in Å follow each position.
Element x y z (fractional)
Ce 0.0000 0.5000 0.5000  6 Ge 3.10-3.15, 2 Ce 3.45
Ce 0.5000 0.5000 0.0000  6 Ge 3.10-3.15, 2 Ce 3.45
Ce 0.7148 0.2364 0.8346  6 Ge 2.95-3.11
Ce 0.7852 0.7636 0.3346  6 Ge 2.95-3.11
Ce 0.2852 0.7636 0.1654  6 Ge 2.95-3.11
Ce 0.2148 0.2364 0.6654  6 Ge 2.95-3.11
Nd 0.5651 0.2035 0.3199  6 Ge 3.06-3.35
Nd 0.9349 0.7965 0.8199  6 Ge 3.06-3.35
Nd 0.4349 0.7965 0.6801  6 Ge 3.06-3.35
Nd 0.0651 0.2035 0.1801  6 Ge 3.06-3.35
Ge 0.8213 0.0861 0.5347  4 Ce 2.95-3.10, 2 Nd 3.06-3.25
Ge 0.6787 0.9139 0.0347  4 Ce 2.95-3.10, 2 Nd 3.06-3.25
Ge 0.1787 0.9139 0.4653  4 Ce 2.95-3.10, 2 Nd 3.06-3.25
Ge 0.3213 0.0861 0.9653  4 Ce 2.95-3.10, 2 Nd 3.06-3.25
Ge 0.8784 0.4963 0.1258  1 Ge 2.76, 2 Ce 3.03-3.06
Ge 0.6216 0.5037 0.6258  1 Ge 2.76, 2 Ce 3.03-3.06
Ge 0.1216 0.5037 0.8742  1 Ge 2.76, 2 Ce 3.03-3.06
Ge 0.3784 0.4963 0.3742  1 Ge 2.76, 2 Ce 3.03-3.06

Calculated values
* density of states at the Fermi level: 31.07 states/eV per cell
* ΔE_f: -0.749 eV per atom


5.
An optimized crystal structure of Ta2TeAs. Source: the Alexandria database, functional PBE.

Lattice parameters (Å, degrees): 4.1501 3.4764 5.8912 78.97 90.00 90.00
Closest atoms and distances in Å follow each position.
Element x y z (fractional)
As 0.5000 0.7500 0.7500  4 Ta 2.52
Te 0.5000 0.2500 0.2500  4 Ta 3.07, 2 As 3.12
Ta 0.0000 0.9529 0.9400  2 As 2.52, 1 Ta 2.74
Ta 0.0000 0.5471 0.5600  2 As 2.52, 1 Ta 2.74

Calculated values
* density of states at the Fermi level: 1.66 states/eV per cell
* uncorrected formation energy: 0.24 eV/atom


6.
An optimized crystal structure of TbZn2Sn. Source: the Alexandria database, functional PBE.

Lattice parameters (Å, degrees): 4.4473 4.4473 5.7351 67.19 67.19 60.00
Closest atoms and distances in Å follow each position.
Element x y z (fractional)
Zn 0.7339 0.7339 0.7983  3 Sn 2.77, 3 Tb 2.99
Zn 0.2661 0.2661 0.2017  3 Sn 2.77, 3 Tb 2.99
Tb 0.5000 0.5000 0.5000  6 Zn 2.99
Sn 0.0000 0.0000 0.0000  6 Zn 2.77

Calculated values
* density of states at the Fermi level: 1.65 states/eV per cell
* distance to the lowest polymorph of the same formula: 0.125 eV/atom
* ΔE_f: -0.272 eV per atom


7.
An optimized crystal structure of La7Pm2Sm. Source: the Alexandria database, functional PBE.

Lattice parameters (Å, degrees): 5.6558 9.3147 9.3147 121.92 90.00 90.00
Closest atoms and distances in Å follow each position.
Element x y z (fractional)
La 0.0000 0.7587 0.2413  2 Pm 2.98
La 0.0000 0.2413 0.7587  2 Pm 2.98
La 0.5000 0.0725 0.3009  2 Pm 3.16-3.45, 2 La 3.38-3.39
La 0.5000 0.9275 0.6991  2 Pm 3.16-3.45, 2 La 3.38-3.39
La 0.5000 0.3009 0.0725  2 Pm 3.16-3.45, 2 La 3.38-3.39
La 0.5000 0.6991 0.9275  2 Pm 3.16-3.45, 2 La 3.38-3.39
La 0.5000 0.5000 0.5000  2 Pm 3.27, 4 La 3.39
Pm 0.5000 0.7008 0.2992  5 La 2.98-3.27
Pm 0.5000 0.2992 0.7008  5 La 2.98-3.27
Sm 0.0000 0.0000 0.0000  10 La 3.78-3.93

Calculated values
* density of states at the Fermi level: 17.69 states/eV per cell
* distance to the lowest polymorph of the same formula: 0.246 eV/atom
* ΔE_f: 0.558 eV per atom


8.
An optimized crystal structure of NaFeIr. Source: the Alexandria database, functional PBE.

Lattice parameters (Å, degrees): 4.2654 6.4190 4.2654 89.38 82.25 89.38
Closest atoms and distances in Å follow each position.
Element x y z (fractional)
Na 0.8540 0.5256 0.6642  4 Fe 3.09-3.26, 5 Ir 3.16-3.28, 2 Na 3.30
Na 0.3673 0.7946 0.1775  4 Fe 3.09-3.26, 5 Ir 3.16-3.27, 2 Na 3.30
Ir 0.8223 0.0166 0.6326  4 Fe 2.29-2.40
Ir 0.3990 0.3033 0.2092  4 Fe 2.29-2.40
Fe 0.3235 0.1599 0.7080  4 Ir 2.29-2.40, 1 Fe 2.39
Fe 0.8979 0.1599 0.1338  4 Ir 2.29-2.40, 1 Fe 2.39

Calculated values
* density of states at the Fermi level: 5.05 states/eV per cell
* distance to the lowest polymorph of the same formula: 0.186 eV/atom
* ΔE_f: 0.447 eV per atom


no.,V (Å³ per atom)
1,32.73
2,26.21
3,25.71
4,25.99
5,20.86
6,21.96
7,41.65
8,19.28